Density functional theory data (GGA-PBE) for crystalline CeGaH8Ru2 at its relaxed geometry.

The structure in CIF format:
```
data_CeGaH8Ru2
_chemical_formula_sum 'Ce1 Ga1 H8 Ru2'
_cell_length_a 4.4878
_cell_length_b 4.4878
_cell_length_c 6.9882
_cell_angle_alpha 90.00
_cell_angle_beta 90.00
_cell_angle_gamma 120.00
_symmetry_space_group_name_H-M 'P 1'
_symmetry_Int_Tables_number 1
loop_
_symmetry_equiv_pos_as_xyz
'x,y,z'
loop_
_atom_site_label
_atom_site_type_symbol
_atom_site_fract_x
_atom_site_fract_y
_atom_site_fract_z
H1 H 0.1402 0.8598 0.7746
H2 H 0.3333 0.6667 0.6206
H3 H 0.6667 0.3333 0.3794
H4 H 0.8598 0.7196 0.2254
H5 H 0.8598 0.1402 0.2254
H6 H 0.7196 0.8598 0.7746
H7 H 0.1402 0.2804 0.7746
H8 H 0.2804 0.1402 0.2254
Ce1 Ce 0.0000 0.0000 0.5000
Ru1 Ru 0.3333 0.6667 0.8575
Ru2 Ru 0.6667 0.3333 0.1425
Ga1 Ga 0.0000 0.0000 0.0000
```

**Calculated volume**: 10.158 Å³/atom
**M_tot**: 1.3 μB per formula unit
**Electronic total energy**: -4.456 eV per atom
**Fermi-level density of states**: 8.33 states/eV/cell
**Symmetry**: P-3m1
**Crystal system**: trigonal